# PrCdNO

A relaxed PrCdNO crystal (PBE-GGA, the Open Quantum Materials Database).

Calculated values
Calculated total energy, eV per atom: -5.973
ΔE to the lowest computed polymorph, meV per atom: 40

Cell lengths 5.107, 5.107, 4.758 Å; angles 90.00, 90.00, 90.00 degrees
Space group P4/nmm (No. 129, origin choice 2)
Unique sites:
Pr 0.250 0.750 0.000
Cd 0.250 0.250 0.498
N 0.250 0.250 0.999
O 0.250 0.750 0.500

# ZrAsPt2

A relaxed ZrAsPt2 crystal (PBE-GGA, the Open Quantum Materials Database).

Calculated values
Calculated total energy, eV per atom: -6.904

Cell lengths 6.509, 6.509, 6.509 Å; angles 90.00, 90.00, 90.00 degrees
Space group F-43m (No. 216)
Unique sites:
Zr 0.000 0.000 0.000
As 0.250 0.250 0.750
Pt 0.000 0.000 0.500
Pt 0.250 0.250 0.250

# GdAgTe2PbS

A relaxed GdAgTe2PbS crystal (PBE-GGA, the Open Quantum Materials Database).

Calculated values
Calculated total energy, eV per atom: -4.420

Cell lengths 4.369, 14.623, 10.479 Å; angles 90.00, 90.00, 90.00 degrees
Space group Cmcm (No. 63)
Unique sites:
Gd 0.000 0.000 0.000
Ag 0.000 0.482 0.250
Te 0.000 0.350 0.056
Pb 0.000 0.268 0.750
S 0.000 0.077 0.250

# NbFeSnMo

A relaxed NbFeSnMo crystal (PBE-GGA, the Open Quantum Materials Database).

Calculated values
Calculated total energy, eV per atom: -8.206
ΔE to the lowest computed polymorph, meV per atom: 0

Cell lengths 6.376, 6.376, 6.376 Å; angles 90.00, 90.00, 90.00 degrees
Space group F-43m (No. 216)
Unique sites:
Nb 0.000 0.000 0.000
Fe 0.250 0.250 0.750
Sn 0.000 0.000 0.500
Mo 0.250 0.250 0.250